A relaxed CsSiF2 crystal, computed with PBE.

Cell and atoms, written as POSCAR:
```
CsSiF2
1.0
0.000 3.433 3.433
3.433 0.000 3.433
3.433 3.433 0.000
Cs Si F
1 1 2
Cartesian
0.000 0.000 0.000
3.433 3.433 3.433
1.717 1.717 1.717
5.150 5.150 5.150
```

Output
- E above lowest polymorph: 69.8 kJ/mol of atoms
- Formation energy (no corrections): -982.0 meV per atom
- SG: Fm-3m, No. 225

=====

A relaxed Cs2SiF crystal, computed with PBE.

Cell and atoms, written as POSCAR:
```
Cs2SiF
1.0
0.000 4.262 4.262
4.262 0.000 4.262
4.262 4.262 0.000
Cs Si F
2 1 1
Cartesian
2.131 2.131 2.131
6.393 6.393 6.393
0.000 0.000 0.000
4.262 4.262 4.262
```

Output
- E above lowest polymorph: 17.5 kJ/mol of atoms
- Formation energy (no corrections): -576.8 meV per atom
- SG: Fm-3m, No. 225

=====

Repeat the second record exactly.
A relaxed Cs2SiF crystal, computed with PBE.

Cell and atoms, written as POSCAR:
```
Cs2SiF
1.0
0.000 4.262 4.262
4.262 0.000 4.262
4.262 4.262 0.000
Cs Si F
2 1 1
Cartesian
2.131 2.131 2.131
6.393 6.393 6.393
0.000 0.000 0.000
4.262 4.262 4.262
```

Output
- E above lowest polymorph: 17.5 kJ/mol of atoms
- Formation energy (no corrections): -576.8 meV per atom
- SG: Fm-3m, No. 225

=====

Which of these has the highest E above lowest polymorph? CsSiF2

=====

What is the formation energy (no corrections) in the second record? -576.8 meV per atom